[1]
Density functional theory data (PBE) for a relaxed structure of LiSbPb2.

Geometry as POSCAR:
```
LiSbPb2
1.0
-4.6443 7.4744 -5.7863
-6.4930 7.7845 -2.8566
-3.4466 9.4324 -3.1732
Li Pb Sb
1 2 1
direct
0.7500 0.7500 0.7500
0.0065 0.0065 0.0065
0.4935 0.4935 0.4935
0.2500 0.2500 0.2500
```

Output
ΔE_f (raw) = 1 kJ per mole of atoms



[2]
Density functional theory data (PBE) for a relaxed structure of TaIrPt2F.

Geometry as POSCAR:
```
TaIrPt2F
1.0
-0.1993 -0.9594 -4.2032
2.7752 -3.2025 0.5994
-3.2795 -2.6976 0.7712
F Ir Pt Ta
1 1 2 1
direct
0.0000 0.0000 0.0000
0.0000 0.5000 0.0000
0.0000 0.0000 0.5000
0.5000 0.0000 0.0000
0.5000 0.5000 0.5000
```

Output
ΔE_f (raw) = 65 kJ per mole of atoms



[3]
Density functional theory data (PBE) for a relaxed structure of Np4PSe2S.

Geometry as POSCAR:
```
Np4PSe2S
1.0
-1.9938 2.2498 2.6603
-5.6408 -3.9070 -0.9234
3.8795 -2.7079 5.1975
Np P Se S
4 1 2 1
direct
0.5000 0.2446 0.2342
0.5000 0.7554 0.7658
0.0000 0.2552 0.7662
0.0000 0.7448 0.2338
0.0000 0.0000 0.0000
0.5000 0.0000 0.5000
0.0000 0.5000 0.5000
0.5000 0.5000 0.0000
```

Output
ΔE_f (raw) = -107 kJ per mole of atoms



[4]
Density functional theory data (PBE) for a relaxed structure of Th3SiTe2.

Geometry as POSCAR:
```
Th3SiTe2
1.0
-3.5624 5.1185 4.1441
-5.4405 -5.3381 -0.4145
6.0321 -1.3217 4.4869
Th Si Te
6 2 4
direct
0.0136 0.2217 0.3679
0.5136 0.3679 0.2217
0.0000 0.5000 0.0000
0.9864 0.7783 0.6321
0.5000 0.0000 0.5000
0.4864 0.6321 0.7783
0.2500 0.5960 0.4040
0.7500 0.4040 0.5960
0.2500 0.9227 0.0773
0.2500 0.2331 0.7669
0.7500 0.0773 0.9227
0.7500 0.7669 0.2331
```

Output
ΔE_f (raw) = -95 kJ per mole of atoms



[5]
Density functional theory data (PBE) for a relaxed structure of NaIn4Hg2.

Geometry as POSCAR:
```
NaIn4Hg2
1.0
3.3474 0.0000 0.0000
0.0000 5.2033 -1.3384
0.0000 -0.0179 10.7142
Na In Hg
1 4 2
direct
0.0000 0.5000 0.0000
0.5000 0.6491 0.2983
0.0000 0.7918 0.5835
0.5000 0.3509 0.7017
0.0000 0.2082 0.4165
0.5000 0.9283 0.8565
0.5000 0.0717 0.1435
```

Output
total DFT energy (no corrections) = -1.91 eV per atom



[6]
Density functional theory data (PBE) for a relaxed structure of Pt6W.

Geometry as POSCAR:
```
Pt6W
1.0
5.1125 0.0000 0.0000
0.0000 5.1125 0.0000
0.0000 0.0000 9.0129
Pt W
12 2
direct
0.5000 0.5000 0.1402
0.0000 0.0000 0.1402
0.0000 0.0000 0.8598
0.5000 0.5000 0.8598
0.8195 0.6805 0.3594
0.3195 0.8195 0.3594
0.6805 0.1805 0.3594
0.1805 0.3195 0.3594
0.6805 0.8195 0.6406
0.1805 0.6805 0.6406
0.8195 0.3195 0.6406
0.3195 0.1805 0.6406
0.5000 0.0000 0.0000
0.0000 0.5000 0.0000
```

Output
total DFT energy (no corrections) = -6.78 eV per atom



[7]
Density functional theory data (PBE) for a relaxed structure of CrTc.

Geometry as POSCAR:
```
CrTc
1.0
-0.2725 -1.3994 2.2270
1.2120 -3.4106 -1.9949
4.7183 1.5156 0.2755
Cr Tc
2 2
direct
0.9064 0.2500 0.1172
0.0936 0.7500 0.8828
0.3484 0.2500 0.6383
0.6516 0.7500 0.3617
```

Output
total DFT energy (no corrections) = -9.89 eV per atom



[8]
Density functional theory data (PBE) for a relaxed structure of PmThZr2.

Geometry as POSCAR:
```
PmThZr2
1.0
-0.7325 4.7363 0.3715
-2.8903 -0.1475 -3.8181
-3.7506 -0.8052 2.8702
Zr Th Pm
2 1 1
direct
0.0000 0.0000 0.5000
0.0000 0.5000 0.0000
0.5000 0.5000 0.5000
0.5000 0.0000 0.0000
```

Output
total DFT energy (no corrections) = -7.16 eV per atom



[9]
Density functional theory data (PBE) for a relaxed structure of PmGa4Pt12.

Geometry as POSCAR:
```
PmGa4Pt12
1.0
-3.8240 -0.5249 6.3582
7.2891 -0.2150 1.4656
-1.6630 6.4186 -3.3707
Pm Ga Pt
1 4 12
direct
0.0000 0.0000 0.0000
0.0000 0.5000 0.0000
0.5000 0.0000 0.0000
0.5000 0.5000 0.5000
0.0000 0.0000 0.5000
0.8470 0.3461 0.1931
0.3461 0.4991 0.1530
0.8069 0.1530 0.6539
0.3461 0.1931 0.8470
0.1931 0.8470 0.3461
0.6539 0.5009 0.8470
0.4991 0.1530 0.3461
0.5009 0.8470 0.6539
0.6539 0.8069 0.1530
0.8470 0.6539 0.5009
0.1530 0.3461 0.4991
0.1530 0.6539 0.8069
```

Output
total DFT energy (no corrections) = -5.42 eV per atom



[10]
Density functional theory data (PBE) for a relaxed structure of Ga2Si2Hg.

Geometry as POSCAR:
```
Ga2Si2Hg
1.0
7.4617 0.0000 0.0000
0.0000 7.4617 0.0000
0.0000 0.0000 3.4030
Si Hg Ga
4 2 4
direct
0.3805 0.8805 0.0000
0.8805 0.6195 0.0000
0.6195 0.1195 0.0000
0.1195 0.3805 0.0000
0.0000 0.0000 0.0000
0.5000 0.5000 0.0000
0.1757 0.6757 0.5000
0.6757 0.8243 0.5000
0.8243 0.3243 0.5000
0.3243 0.1757 0.5000
```

Output
ΔE_f (raw) = 31 kJ per mole of atoms



[11]
Density functional theory data (PBE) for a relaxed structure of BeSiAsBr2.

Geometry as POSCAR:
```
BeSiAsBr2
1.0
-2.8922 -2.3997 -3.2455
1.9294 -4.3289 1.4814
-3.6294 -0.4077 3.5357
Be As Si Br
1 1 1 2
direct
0.5000 0.5000 0.5000
0.0000 0.0000 0.5000
0.0000 0.0000 0.0000
0.0000 0.5000 0.0000
0.5000 0.0000 0.0000
```

Output
ΔE_f (raw) = 72 kJ per mole of atoms



[12]
Density functional theory data (PBE) for a relaxed structure of HfCuReP2.

Geometry as POSCAR:
```
HfCuReP2
1.0
-2.5692 -0.7156 -4.0731
3.6335 -3.0599 -1.7543
-2.2133 -3.8126 2.0659
Re Hf Cu P
1 1 1 2
direct
0.0000 0.5000 0.0000
0.0000 0.0000 0.0000
0.5000 0.5000 0.5000
0.0000 0.0000 0.5000
0.5000 0.0000 0.0000
```

Output
total DFT energy (no corrections) = -5.94 eV per atom



What did the ninth record say?
Density functional theory data (PBE) for a relaxed structure of PmGa4Pt12.

Geometry as POSCAR:
```
PmGa4Pt12
1.0
-3.8240 -0.5249 6.3582
7.2891 -0.2150 1.4656
-1.6630 6.4186 -3.3707
Pm Ga Pt
1 4 12
direct
0.0000 0.0000 0.0000
0.0000 0.5000 0.0000
0.5000 0.0000 0.0000
0.5000 0.5000 0.5000
0.0000 0.0000 0.5000
0.8470 0.3461 0.1931
0.3461 0.4991 0.1530
0.8069 0.1530 0.6539
0.3461 0.1931 0.8470
0.1931 0.8470 0.3461
0.6539 0.5009 0.8470
0.4991 0.1530 0.3461
0.5009 0.8470 0.6539
0.6539 0.8069 0.1530
0.8470 0.6539 0.5009
0.1530 0.3461 0.4991
0.1530 0.6539 0.8069
```

Output
total DFT energy (no corrections) = -5.42 eV per atom